HgSb2Rh (GGA-PBE, optimized geometry); SG = No. 6; calculated total energy = -3.97 eV per atom; uncorrected formation energy = 0.00 eV/atom; total magnetic moment = 0.00 μB/f.u.
1.0
-0.869 -0.657 3.160
2.780 -3.273 0.084
6.024 2.333 2.141
Hg Sb Rh
1 2 1
direct
0.000 0.205 0.513
0.000 0.881 0.088
0.500 0.581 0.746
0.500 0.333 0.153